A relaxed Cd2OsPt crystal, computed with PBE.

Structure (extended XYZ):
```
12
Lattice="2.8940 0.0000 0.0000 -1.4470 2.5063 0.0000 0.0000 0.0000 28.2441" Properties=species:S:1:pos:R:3 pbc="T T T"
Cd 0.0000 0.0000 7.0669
Cd 0.0000 0.0000 21.1772
Cd 0.0000 1.6709 11.7625
Cd 0.0000 1.6709 25.8962
Cd 1.4470 0.8354 2.3478
Cd 1.4470 0.8354 16.4816
Os 0.0000 0.0000 0.0000
Os 0.0000 1.6709 18.8294
Os 1.4470 0.8354 9.4147
Pt 0.0000 0.0000 14.1220
Pt 0.0000 1.6709 4.7074
Pt 1.4470 0.8354 23.5367
```

Properties
Mass density (g/cm3): 14.837
Space-group type: R-3m (166)
Formation energy from the elements (kJ/mol of atoms): 24.52
DOS at the Fermi energy (states/eV per atom): 0.80